First-principles (PBE-GGA) data for a relaxed Tm2CrHg crystal, as listed in Alexandria.

Results
crystal system: tetragonal
VASP energy: -4.797 eV/atom
magnetization: 3.07 μB/cell
Fermi-level density of states: 0.7132 states/eV/atom
symmetry: P4/mmm, No. 123

a b c (Å): 3.4990 3.4990 7.5476
angles (deg): 90.00 90.00 90.00
Atoms (fractional coordinates):
1 Tm 0.0000 0.0000 0.2295
2 Tm 0.0000 0.0000 0.7705
3 Cr 0.5000 0.5000 0.0000
4 Hg 0.5000 0.5000 0.5000